Entry 1:
VASP calculation (PBE) on a relaxed structure of OsPb.

Unit cell a=4.7300 b=3.3595 c=5.7722 alpha=55.30 beta=90.00 gamma=90.00
Fractional coordinates of all 4 atoms:
Os1 0.7500 0.2499 0.2501
Os2 0.2500 0.7501 0.7499
Pb1 0.7500 0.2498 0.7501
Pb2 0.2500 0.7502 0.2499


Entry 2:
VASP calculation (PBE) on a relaxed structure of Li4CdPd3.

Unit cell a=3.0322 b=4.5192 c=9.3918 alpha=75.19 beta=99.29 gamma=90.00
Fractional coordinates of all 8 atoms:
Li1 0.7573 0.7418 0.5147
Li2 0.2427 0.2582 0.4853
Li3 0.3830 0.6154 0.7659
Li4 0.6170 0.3846 0.2341
Pd1 0.8632 0.1341 0.7264
Pd2 0.1368 0.8659 0.2736
Pd3 0.0000 0.5000 0.0000
Cd1 0.5000 0.0000 0.0000


Entry 3:
VASP calculation (PBE) on a relaxed structure of ReAg2As.

Unit cell a=3.0092 b=4.4089 c=5.0386 alpha=90.00 beta=90.00 gamma=90.00
Fractional coordinates of all 4 atoms:
Ag1 0.0000 0.0000 0.0000
Ag2 0.5000 0.5000 0.0000
As1 0.5000 0.0000 0.5000
Re1 0.0000 0.5000 0.5000


Magnetization for the records above, in order: 0.000; 0.000; 0.000 μB/atom
ΔH_f (0 K) for the records above, in order: 1.0876; -0.3697; 0.5846 eV/atom